Entry 1:
VASP calculation (SCAN) on a PBEsol-optimized structure of Ba8CuSi16.

Results
The magnetic moment comes out at 0.00 μB per formula unit. For the final energy, the calculation gives -20.012 eV per atom. Its uncorrected formation energy is -0.337 eV per atom.

```
Ba8CuSi16
1.0
9.085 0.000 0.000
0.000 6.646 0.000
-0.053 0.000 11.385
Ba Cu Si
8 1 16
direct
0.000 0.000 0.000
0.025 0.500 0.379
0.151 0.000 0.603
0.360 0.500 0.091
0.494 0.000 0.880
0.522 0.500 0.495
0.683 0.000 0.275
0.856 0.500 0.782
0.436 0.000 0.464
0.101 0.000 0.283
0.202 0.320 0.837
0.202 0.680 0.837
0.207 0.500 0.654
0.315 0.200 0.330
0.315 0.800 0.330
0.319 0.000 0.155
0.423 0.500 0.780
0.611 0.000 0.601
0.706 0.320 0.038
0.706 0.680 0.038
0.708 0.500 0.221
0.818 0.000 0.727
0.826 0.183 0.543
0.826 0.817 0.543
0.925 0.500 0.096
```

Entry 2:
VASP calculation (SCAN) on a PBEsol-optimized structure of BaCu9Sn4.

Results
The magnetic moment comes out at 0.00 μB per formula unit. For the final energy, the calculation gives -23.020 eV per atom. The value obtained for the formation energy is -160 meV/atom.

```
BaCu9Sn4
1.0
-4.306 4.306 6.192
4.306 -4.306 6.192
4.306 4.306 -6.192
Ba Cu Sn
2 18 8
direct
0.250 0.250 0.000
0.750 0.750 0.000
0.000 0.500 0.500
0.055 0.796 0.850
0.066 0.566 0.285
0.204 0.055 0.259
0.219 0.934 0.500
0.281 0.781 0.715
0.296 0.555 0.850
0.434 0.719 0.500
0.445 0.296 0.741
0.500 0.000 0.500
0.555 0.704 0.259
0.566 0.281 0.500
0.704 0.445 0.150
0.719 0.219 0.285
0.781 0.066 0.500
0.796 0.945 0.741
0.934 0.434 0.715
0.945 0.204 0.150
0.060 0.190 0.500
0.190 0.690 0.130
0.310 0.440 0.500
0.440 0.940 0.130
0.560 0.060 0.870
0.690 0.560 0.500
0.810 0.310 0.870
0.940 0.810 0.500
```

Question: Number 1 is which compound?
Answer: Ba8CuSi16

Question: The lowest final energy belongs to which entry?
Answer: BaCu9Sn4